{
  "formula": "Mg6CrO8",
  "functional": "PBE with a Hubbard U",
  "state": "optimized geometry",
  "spacegroup": "Fm-3m, No. 225",
  "magnetic_moment_mub_per_cell": 2.00,
  "e_tot_ev_per_atom": -6.2414,
  "lattice_angstrom": [[0.000, 4.242, 4.242], [4.242, 0.000, 4.242], [4.242, 4.242, 0.000]],
  "species": ["Mg", "Mg", "Mg", "Mg", "Mg", "Mg", "Cr", "O", "O", "O", "O", "O", "O", "O", "O"],
  "frac_coords": [[0.000, 0.000, 0.500], [0.000, 0.500, 0.000], [0.000, 0.500, 0.500], [0.500, 0.000, 0.000], [0.500, 0.000, 0.500], [0.500, 0.500, 0.000], [0.000, 0.000, 0.000], [0.231, 0.231, 0.769], [0.231, 0.769, 0.231], [0.231, 0.769, 0.769], [0.250, 0.250, 0.250], [0.750, 0.750, 0.750], [0.769, 0.231, 0.231], [0.769, 0.231, 0.769], [0.769, 0.769, 0.231]]
}